Computed, not measured: crystalline SrCr2BiO8 at its relaxed geometry at the PBE with a Hubbard U level of DFT.

The space group is P-3 (No. 147) and the conventional cell measures 5.7098, 5.7098 and 7.3904 Å, with angles of 90.00, 90.00 and 120.00 degrees. The distinct sites, in fractional coordinates, are Sr at (0.0000, 0.0000, 0.0000), Cr at (0.3333, 0.6667, 0.7934), Bi at (0.0000, 0.0000, 0.5000), O at (0.1675, 0.8304, 0.7217) and O at (0.3333, 0.6667, 0.0150).

The value obtained for the volume is 17.388 Å³/atom. For the total energy, the calculation gives -6.575 eV/atom. As for the density of states at the Fermi level: 4.8 states/eV/f.u.